No. 1
VASP calculation (PBE) on a relaxed structure of CsYHfTe3.

Its electronic total energy is -32.73 eV per formula unit. Its total magnetic moment is 0.33 μB per formula unit.

It has space group Cmcm (No. 63), with a = 4.498 Å, b = 17.541 Å, c = 11.541 Å, α = 90.00°, β = 90.00° and γ = 90.00°. Symmetry generates all atoms from Cs at (0.000, 0.246, 0.250), Y at (0.000, 0.500, 0.000), Hf at (0.000, 0.031, 0.750), Te at (0.000, 0.121, 0.552) and Te at (0.000, 0.433, 0.750).

=====

No. 2
VASP calculation (PBE) on a relaxed structure of CsHfTh.

The energy above the most stable polymorph in this dataset is 0 meV per atom. Its electronic total energy is -13.15 eV per formula unit. Its total magnetic moment is 0.97 μB per formula unit.

It has space group F-43m (No. 216), with a = 7.707 Å, b = 7.707 Å, c = 7.707 Å, α = 90.00°, β = 90.00° and γ = 90.00°. Symmetry generates all atoms from Cs at (0.000, 0.000, 0.000), Hf at (0.250, 0.250, 0.250) and Th at (0.000, 0.000, 0.500).

=====

No. 3
VASP calculation (PBE) on a relaxed structure of CsHfTh.

The energy above the most stable polymorph in this dataset is 245 meV per atom. Its electronic total energy is -12.42 eV per formula unit. Its total magnetic moment is 0.01 μB per formula unit.

It has space group F-43m (No. 216), with a = 7.429 Å, b = 7.429 Å, c = 7.429 Å, α = 90.00°, β = 90.00° and γ = 90.00°. Symmetry generates all atoms from Cs at (0.000, 0.000, 0.000), Hf at (0.250, 0.250, 0.750) and Th at (0.250, 0.250, 0.250).